# 1
# KCa2Gd (PBE, relaxed)
data_KCa2Gd
_symmetry_space_group_name_H-M 'P 4/m m m'
_symmetry_Int_Tables_number 123
_symmetry_space_group_name_Hall '-P 4 2'
_cell_length_a 3.854
_cell_length_b 3.854
_cell_length_c 11.966
_cell_angle_alpha 90.00
_cell_angle_beta 90.00
_cell_angle_gamma 90.00
loop_
_atom_site_label
_atom_site_type_symbol
_atom_site_fract_x
_atom_site_fract_y
_atom_site_fract_z
_atom_site_occupancy
K1 K 0.000 0.000 0.000 1
Ca1 Ca 0.500 0.500 0.288 1
Gd1 Gd 0.000 0.000 0.500 1
# * density: 2.58 Mg/m³
# * DFT total energy: -4.656 eV per atom
# * M_tot: 8.228 Bohr magnetons per cell

# 2
# KCaGdSeO6 (PBE, relaxed)
data_KCaGdSeO6
_symmetry_space_group_name_H-M 'F -4 3 m'
_symmetry_Int_Tables_number 216
_symmetry_space_group_name_Hall 'F -4 2 3'
_cell_length_a 8.119
_cell_length_b 8.119
_cell_length_c 8.119
_cell_angle_alpha 90.00
_cell_angle_beta 90.00
_cell_angle_gamma 90.00
loop_
_atom_site_label
_atom_site_type_symbol
_atom_site_fract_x
_atom_site_fract_y
_atom_site_fract_z
_atom_site_occupancy
K1 K 0.000 0.000 0.000 1
Ca1 Ca 0.000 0.000 0.500 1
Gd1 Gd 0.250 0.250 0.750 1
Se1 Se 0.250 0.250 0.250 1
O1 O 0.025 0.250 0.250 1
# * density: 5.11 Mg/m³
# * E_form (uncorrected): -1.95 eV per atom
# * M_tot: 28.036 Bohr magnetons per cell

density of number 1 (KCa2Gd)?
2.58 Mg/m³

Which formula does entry 2 have?
KCaGdSeO6

Which of these has the highest density?
KCaGdSeO6